(1)
Mn6O7F5 at its PBEsol-relaxed geometry, computed with SCAN.

Computed properties:
**VASP energy**: -11.849 eV/atom
**Energy relative to the lowest polymorph listed for this composition**: 4.3 kJ per mole of atoms
**E_form (uncorrected)**: -2.357 eV per atom

Geometry as CIF:
```
data_Mn6O7F5
_symmetry_space_group_name_H-M 'P 1 c 1'
_symmetry_Int_Tables_number 7
_cell_length_a 4.487
_cell_length_b 5.482
_cell_length_c 15.042
_cell_angle_alpha 90.00
_cell_angle_beta 90.58
_cell_angle_gamma 90.00
loop_
_symmetry_equiv_pos_as_xyz
'x,y,z'
'x,-y,z+1/2'
loop_
_atom_site_label
_atom_site_type_symbol
_atom_site_fract_x
_atom_site_fract_y
_atom_site_fract_z
Mn1 Mn 0.000 0.135 0.000
Mn2 Mn 0.006 0.155 0.332
Mn3 Mn 0.499 0.352 0.823
Mn4 Mn 0.532 0.330 0.491
Mn5 Mn 0.569 0.356 0.157
Mn6 Mn 0.995 0.144 0.670
O1 O 0.223 0.121 0.777
O2 O 0.225 0.117 0.441
O3 O 0.720 0.387 0.381
O4 O 0.739 0.380 0.716
O5 O 0.744 0.388 0.049
O6 O 0.792 0.109 0.560
O7 O 0.796 0.125 0.220
F1 F 0.251 0.378 0.939
F2 F 0.277 0.117 0.113
F3 F 0.278 0.377 0.606
F4 F 0.284 0.382 0.261
F5 F 0.736 0.116 0.887
```

***

(2)
Mn4O7F at its PBEsol-relaxed geometry, computed with SCAN.

Computed properties:
**VASP energy**: -12.175 eV/atom
**Energy relative to the lowest polymorph listed for this composition**: 2.1 kJ per mole of atoms
**E_form (uncorrected)**: -2.160 eV per atom

Geometry as CIF:
```
data_Mn4O7F
_symmetry_space_group_name_H-M 'C 1 c 1'
_symmetry_Int_Tables_number 9
_cell_length_a 8.699
_cell_length_b 10.712
_cell_length_c 4.837
_cell_angle_alpha 90.00
_cell_angle_beta 90.51
_cell_angle_gamma 90.00
loop_
_symmetry_equiv_pos_as_xyz
'x,y,z'
'x,-y,z+1/2'
'x+1/2,y+1/2,z'
'x+1/2,-y+1/2,z+1/2'
loop_
_atom_site_label
_atom_site_type_symbol
_atom_site_fract_x
_atom_site_fract_y
_atom_site_fract_z
Mn1 Mn 0.000 0.069 0.000
Mn2 Mn 0.005 0.427 0.469
Mn3 Mn 0.257 0.332 0.981
Mn4 Mn 0.262 0.178 0.460
O1 O 0.120 0.443 0.802
O2 O 0.121 0.056 0.319
O3 O 0.138 0.307 0.301
O4 O 0.369 0.309 0.651
O5 O 0.371 0.193 0.139
O6 O 0.388 0.058 0.638
O7 O 0.388 0.443 0.163
F1 F 0.133 0.190 0.804
```

***

For reference, M_tot by record: 23.0 13.0 μB per formula unit.